# 1
! MnS5I (PBE, relaxed); values from VASP
&SYSTEM
  ibrav = 0, nat = 7, ntyp = 3
/
ATOMIC_SPECIES
Mn 54.94 Mn.upf
S 32.06 S.upf
I 126.90 I.upf
CELL_PARAMETERS angstrom
4.269 0.000 0.000
-0.787 7.430 0.000
-0.138 -2.893 7.051
ATOMIC_POSITIONS crystal
Mn 0.000 0.000 0.000
S 0.078 0.210 0.326
S 0.119 0.673 0.577
S 0.777 0.964 0.255
S 0.847 0.471 0.361
S 0.964 0.675 0.834
I 0.501 0.151 0.870
! Space group = P1
! Energy relative to the elements, uncorrected = -0.1174 eV/atom
! Total DFT energy (no corrections) = -4.597 eV/atom
! Magnetic moment = 4.00 μB per cell

# 2
! Be5Ru (PBE, relaxed); values from VASP
&SYSTEM
  ibrav = 0, nat = 6, ntyp = 2
/
ATOMIC_SPECIES
Be 9.01 Be.upf
Ru 101.07 Ru.upf
CELL_PARAMETERS angstrom
2.740 0.000 0.000
0.000 2.740 0.000
0.000 0.000 7.431
ATOMIC_POSITIONS crystal
Be 0.000 0.000 0.000
Be 0.000 0.000 0.322
Be 0.000 0.000 0.678
Be 0.500 0.500 0.162
Be 0.500 0.500 0.838
Ru 0.500 0.500 0.500
! Space group = P4/mmm
! Total DFT energy (no corrections) = -4.678 eV/atom
! Energy relative to the elements = -0.027 eV/atom
! Density of states at the Fermi level = 3.387 states/eV/cell
! Magnetic moment = 0.27 μB per cell